[1]
A relaxed Pr4SmY15 crystal. Source: Alexandria via LeMat-Bulk, functional PBE-GGA.

a b c (Å): 5.1020 5.1020 25.3902
angles (deg): 90.00 90.00 90.00
With the nearest neighbours (Å) after each atom.
Fractional positions:
Pr  0.0000  0.0000  0.1003  12 Y 3.60-3.61
Pr  0.0000  0.0000  0.3006  12 Y 3.60-3.61
Pr  0.0000  0.0000  0.6994  12 Y 3.60-3.61
Pr  0.0000  0.0000  0.8997  12 Y 3.60-3.61
Sm  0.0000  0.0000  0.5000  12 Y 3.58-3.61
Y  0.0000  0.5000  0.0000  4 Pr 3.60, 8 Y 3.60-3.61
Y  0.0000  0.5000  0.2005  4 Pr 3.60, 8 Y 3.60-3.61
Y  0.0000  0.5000  0.4009  2 Sm 3.58, 8 Y 3.58-3.61, 2 Pr 3.61
Y  0.0000  0.5000  0.5991  2 Sm 3.58, 8 Y 3.58-3.61, 2 Pr 3.61
Y  0.0000  0.5000  0.7995  4 Pr 3.60, 8 Y 3.60-3.61
Y  0.5000  0.0000  0.0000  4 Pr 3.60, 8 Y 3.60-3.61
Y  0.5000  0.0000  0.2005  4 Pr 3.60, 8 Y 3.60-3.61
Y  0.5000  0.0000  0.4009  2 Sm 3.58, 8 Y 3.58-3.61, 2 Pr 3.61
Y  0.5000  0.0000  0.5991  2 Sm 3.58, 8 Y 3.58-3.61, 2 Pr 3.61
Y  0.5000  0.0000  0.7995  4 Pr 3.60, 8 Y 3.60-3.61
Y  0.5000  0.5000  0.1003  8 Y 3.60, 4 Pr 3.61
Y  0.5000  0.5000  0.3008  8 Y 3.60, 4 Pr 3.61
Y  0.5000  0.5000  0.5000  8 Y 3.58, 4 Sm 3.61
Y  0.5000  0.5000  0.6992  8 Y 3.60, 4 Pr 3.61
Y  0.5000  0.5000  0.8997  8 Y 3.60, 4 Pr 3.61

Calculated values
crystal system: tetragonal
ΔE_f: 0.021 eV/atom

[2]
A relaxed Cd2CuH6Ir crystal. Source: Alexandria via LeMat-Bulk, functional PBE-GGA.

a b c (Å): 4.7880 4.8681 4.9163
angles (deg): 72.24 71.26 70.22
With the nearest neighbours (Å) after each atom.
Fractional positions:
Cd  0.1929  0.2703  0.2619  3 H 2.16-2.34
Cd  0.8071  0.7297  0.7381  3 H 2.16-2.34
Cu  0.0000  0.0000  0.0000  6 H 1.99-2.07
H  0.2607  0.7702  0.2812  1 Ir 1.76
H  0.2647  0.2834  0.7642  1 Ir 1.76
H  0.3532  0.7425  0.7359  1 Ir 1.73
H  0.6468  0.2575  0.2641  1 Ir 1.73
H  0.7353  0.7166  0.2358  1 Ir 1.76
H  0.7393  0.2298  0.7188  1 Ir 1.76
Ir  0.5000  0.5000  0.5000  6 H 1.73-1.76

Calculated values
calculated total energy: -33.1 eV per cell
crystal system: triclinic

[3]
A relaxed La2Ga4GeAu3 crystal. Source: Alexandria via LeMat-Bulk, functional PBE-GGA.

a b c (Å): 4.5105 4.5105 10.4848
angles (deg): 90.00 90.00 90.00
With the nearest neighbours (Å) after each atom.
Fractional positions:
La  0.0000  0.5000  0.2484  8 Ga 3.42-3.47, 6 Au 3.44, 2 Ge 3.44
La  0.5000  0.0000  0.7516  8 Ga 3.42-3.47, 6 Au 3.44, 2 Ge 3.44
Ga  0.0000  0.0000  0.5000  4 Au 2.63
Ga  0.0000  0.5000  0.8693  3 Au 2.52-2.64, 2 Ge 2.64
Ga  0.5000  0.0000  0.1307  3 Au 2.52-2.64, 2 Ge 2.64
Ga  0.5000  0.5000  0.5000  4 Au 2.63
Ge  0.5000  0.5000  0.0000  4 Ga 2.64
Au  0.0000  0.0000  0.0000  4 Ga 2.64
Au  0.0000  0.5000  0.6289  5 Ga 2.52-2.63
Au  0.5000  0.0000  0.3711  5 Ga 2.52-2.63

Calculated values
crystal system: tetragonal
ΔE_f: -0.662 eV/atom

[4]
A relaxed DyTm2Hg3 crystal. Source: Alexandria via LeMat-Bulk, functional PBE-GGA.

a b c (Å): 3.6964 3.6964 11.0403
angles (deg): 90.00 90.00 90.00
With the nearest neighbours (Å) after each atom.
Fractional positions:
Dy  0.0000  0.0000  0.0000  8 Hg 3.22
Tm  0.0000  0.0000  0.3347  8 Hg 3.18-3.19
Tm  0.0000  0.0000  0.6653  8 Hg 3.18-3.19
Hg  0.5000  0.5000  0.1708  4 Tm 3.18, 4 Dy 3.22
Hg  0.5000  0.5000  0.5000  8 Tm 3.19
Hg  0.5000  0.5000  0.8292  4 Tm 3.18, 4 Dy 3.22

Calculated values
crystal system: tetragonal
ΔE_f: -0.479 eV/atom

[5]
A relaxed Zn2InAs crystal. Source: Alexandria via LeMat-Bulk, functional PBE-GGA.

a b c (Å): 3.1618 3.1618 8.1595
angles (deg): 90.00 90.00 102.92
With the nearest neighbours (Å) after each atom.
Fractional positions:
Zn  0.0000  0.0000  0.2307  2 As 2.72, 2 In 2.95
Zn  0.0000  0.0000  0.7693  2 As 2.72, 2 In 2.95
In  0.5000  0.5000  0.5000  4 Zn 2.95, 4 In 3.16
As  0.5000  0.5000  0.0000  4 Zn 2.72

Calculated values
crystal system: orthorhombic
ΔE_f: 0.167 eV/atom

[6]
A relaxed Pr2Nd2ErHg5 crystal. Source: Alexandria via LeMat-Bulk, functional PBE-GGA.

a b c (Å): 12.3704 12.3704 3.8830
angles (deg): 90.00 90.00 90.00
With the nearest neighbours (Å) after each atom.
Fractional positions:
Pr  0.1546  0.3454  0.0000  6 Hg 3.31-3.33, 1 Nd 3.45
Pr  0.3454  0.8454  0.0000  6 Hg 3.31-3.33, 1 Nd 3.45
Pr  0.6546  0.1546  0.0000  6 Hg 3.31-3.33, 1 Nd 3.45
Pr  0.8454  0.6546  0.0000  6 Hg 3.31-3.33, 1 Nd 3.45
Nd  0.1481  0.6481  0.0000  6 Hg 3.24-3.26, 1 Pr 3.45
Nd  0.3519  0.1481  0.0000  6 Hg 3.24-3.26, 1 Pr 3.45
Nd  0.6481  0.8519  0.0000  6 Hg 3.24-3.26, 1 Pr 3.45
Nd  0.8519  0.3519  0.0000  6 Hg 3.24-3.26, 1 Pr 3.45
Er  0.0000  0.0000  0.0000  8 Hg 3.06
Er  0.5000  0.5000  0.0000  8 Hg 3.06
Hg  0.0000  0.5000  0.5000  4 Nd 3.24, 4 Pr 3.33
Hg  0.1293  0.8585  0.5000  2 Er 3.06, 2 Nd 3.26, 2 Pr 3.31, 2 Hg 3.35
Hg  0.1415  0.1293  0.5000  2 Er 3.06, 2 Nd 3.26, 2 Pr 3.31, 2 Hg 3.35
Hg  0.3585  0.6293  0.5000  2 Er 3.06, 2 Nd 3.26, 2 Pr 3.31, 2 Hg 3.35
Hg  0.3707  0.3585  0.5000  2 Er 3.06, 2 Nd 3.26, 2 Pr 3.31, 2 Hg 3.35
Hg  0.5000  0.0000  0.5000  4 Nd 3.24, 4 Pr 3.33
Hg  0.6293  0.6415  0.5000  2 Er 3.06, 2 Nd 3.26, 2 Pr 3.31, 2 Hg 3.35
Hg  0.6415  0.3707  0.5000  2 Er 3.06, 2 Nd 3.26, 2 Pr 3.31, 2 Hg 3.35
Hg  0.8585  0.8707  0.5000  2 Er 3.06, 2 Nd 3.26, 2 Pr 3.31, 2 Hg 3.35
Hg  0.8707  0.1415  0.5000  2 Er 3.06, 2 Nd 3.26, 2 Pr 3.31, 2 Hg 3.35

Calculated values
crystal system: tetragonal
ΔE_f: -0.312 eV/atom

[7]
A relaxed CrTc2IrN crystal. Source: Alexandria via LeMat-Bulk, functional PBE-GGA.

a b c (Å): 4.0091 4.0091 3.8985
angles (deg): 90.00 90.00 90.00
With the nearest neighbours (Å) after each atom.
Fractional positions:
Cr  0.0000  0.0000  0.0000  2 N 1.95
Tc  0.0000  0.5000  0.5000  2 N 2.00
Tc  0.5000  0.0000  0.5000  2 N 2.00
Ir  0.5000  0.5000  0.0000  8 Tc 2.80, 4 Cr 2.83
N  0.0000  0.0000  0.5000  2 Cr 1.95, 4 Tc 2.00

Calculated values
crystal system: tetragonal
E_form (uncorrected): -0.0983 eV/atom

[8]
A relaxed Cd2Ag2Cl crystal. Source: Alexandria via LeMat-Bulk, functional PBE-GGA.

a b c (Å): 8.1682 8.1682 3.2624
angles (deg): 90.00 90.00 90.00
With the nearest neighbours (Å) after each atom.
Fractional positions:
Cd  0.1787  0.3213  0.0000  6 Ag 2.83-2.98
Cd  0.3213  0.8213  0.0000  6 Ag 2.83-2.98
Cd  0.6787  0.1787  0.0000  6 Ag 2.83-2.98
Cd  0.8213  0.6787  0.0000  6 Ag 2.83-2.98
Ag  0.1213  0.6213  0.5000  1 Ag 2.80, 6 Cd 2.83-2.98
Ag  0.3787  0.1213  0.5000  1 Ag 2.80, 6 Cd 2.83-2.98
Ag  0.6213  0.8787  0.5000  1 Ag 2.80, 6 Cd 2.83-2.98
Ag  0.8787  0.3787  0.5000  1 Ag 2.80, 6 Cd 2.83-2.98
Cl  0.0000  0.0000  0.5000  4 Ag 3.25, 2 Cl 3.26, 8 Cd 3.42
Cl  0.5000  0.5000  0.5000  4 Ag 3.25, 2 Cl 3.26, 8 Cd 3.42

Calculated values
crystal system: tetragonal
E_form (uncorrected): -0.0717 eV/atom

[9]
A relaxed ReTe2SeN crystal. Source: Alexandria via LeMat-Bulk, functional PBE-GGA.

a b c (Å): 5.4844 5.4844 3.5614
angles (deg): 90.00 90.00 90.00
With the nearest neighbours (Å) after each atom.
Fractional positions:
Re  0.0000  0.0000  0.0000  8 Te 3.27, 2 Re 3.56
Te  0.0000  0.5000  0.5000  2 Se 2.74
Te  0.5000  0.0000  0.5000  2 Se 2.74
Se  0.5000  0.5000  0.5000  2 N 1.78
N  0.5000  0.5000  0.0000  2 Se 1.78

Calculated values
crystal system: tetragonal
E_form (uncorrected): 1.6606 eV/atom

[10]
A relaxed YCoW2 crystal. Source: Alexandria via LeMat-Bulk, functional PBE-GGA.

a b c (Å): 2.7769 4.7639 5.3044
angles (deg): 90.00 90.00 90.00
With the nearest neighbours (Å) after each atom.
Fractional positions:
Y  0.0000  0.0000  0.0000  2 Co 2.65, 2 Y 2.78
Co  0.0000  0.0000  0.5000  2 Y 2.65, 2 Co 2.78
W  0.5000  0.5000  0.2554  4 W 2.59-2.78
W  0.5000  0.5000  0.7446  4 W 2.59-2.78

Calculated values
crystal system: orthorhombic
ΔE_f: 0.747 eV/atom

[11]
A relaxed Rb3Y2HoSe6 crystal. Source: Alexandria via LeMat-Bulk, functional PBE-GGA.

a b c (Å): 7.3404 7.3404 8.3586
angles (deg): 98.42 98.42 120.00
With the nearest neighbours (Å) after each atom.
Fractional positions:
Rb  0.0000  0.0000  0.0000  6 Se 3.45-3.46
Rb  0.3329  0.6671  0.0000  6 Se 3.45-3.46
Rb  0.6671  0.3329  0.0000  6 Se 3.45-3.46
Y  0.1666  0.8334  0.5000  6 Se 2.91
Y  0.8334  0.1666  0.5000  6 Se 2.91
Ho  0.5000  0.5000  0.5000  6 Se 2.89
Se  0.1030  0.4348  0.3045  1 Ho 2.89, 2 Y 2.91
Se  0.2334  0.2334  0.6957  1 Ho 2.89, 2 Y 2.91
Se  0.4348  0.1030  0.3045  1 Ho 2.89, 2 Y 2.91
Se  0.5652  0.8970  0.6955  1 Ho 2.89, 2 Y 2.91
Se  0.7666  0.7666  0.3043  1 Ho 2.89, 2 Y 2.91
Se  0.8970  0.5652  0.6955  1 Ho 2.89, 2 Y 2.91

Calculated values
crystal system: monoclinic
E_form (uncorrected): -1.7443 eV/atom

[12]
A relaxed Cd2As3Rh5 crystal. Source: Alexandria via LeMat-Bulk, functional PBE-GGA.

a b c (Å): 13.8957 13.8957 6.0854
angles (deg): 90.00 90.00 163.60
With the nearest neighbours (Å) after each atom.
Fractional positions:
Cd  0.0060  0.9940  0.5000  5 As 2.96-3.07, 5 Rh 2.97-3.08, 2 Cd 3.06
Cd  0.3308  0.6692  0.4492  6 Rh 2.75-2.78
Cd  0.6692  0.3308  0.9492  6 Rh 2.75-2.78
Cd  0.9940  0.0060  0.0000  5 As 2.96-3.07, 5 Rh 2.97-3.08, 2 Cd 3.06
As  0.1101  0.8899  0.6660  6 Rh 2.52-2.57
As  0.2742  0.7258  0.9264  7 Rh 2.39-2.54
As  0.4397  0.5603  0.7018  4 Rh 2.44-2.56
As  0.5603  0.4397  0.2018  4 Rh 2.44-2.56
As  0.7258  0.2742  0.4264  7 Rh 2.39-2.54
As  0.8899  0.1101  0.1660  6 Rh 2.52-2.57
Rh  0.1045  0.8955  0.0792  3 As 2.44-2.52
Rh  0.2034  0.7966  0.6680  4 As 2.50-2.57, 2 Cd 2.78
Rh  0.2116  0.7884  0.1978  3 As 2.39-2.45
Rh  0.3646  0.6354  0.9350  4 As 2.49-2.53
Rh  0.4415  0.5585  0.2819  3 As 2.54-2.56
Rh  0.5585  0.4415  0.7819  3 As 2.54-2.56
Rh  0.6354  0.3646  0.4350  4 As 2.49-2.53
Rh  0.7884  0.2116  0.6978  3 As 2.39-2.45
Rh  0.7966  0.2034  0.1680  4 As 2.50-2.57, 2 Cd 2.78
Rh  0.8955  0.1045  0.5792  3 As 2.44-2.52

Calculated values
crystal system: orthorhombic
ΔE_f: -0.271 eV/atom